Record 1
This record from Alexandria via LeMat-Bulk describes a geometry-optimized BaFe2Si structure. The functional is PBE.

Calculated values
Raw formation energy in meV/atom: 348.3
Raw total energy in Ry per atom: -0.420
Fermi-level density of states in states/eV/cell: 3.8
Calculated density in g cm⁻³: 6.31

The structure in POSCAR format:
```
BaFe2Si
1.0
-2.100 2.394 -0.354
-0.555 -0.020 3.156
5.223 4.721 0.948
Ba Fe Si
1 2 1
direct
0.500 0.500 0.750
0.000 0.000 0.096
0.000 0.000 0.404
0.500 0.500 0.250
```


Record 2
This record from Alexandria via LeMat-Bulk describes a geometry-optimized Cd4Sb2SI structure. The functional is PBE.

Calculated values
Raw formation energy in meV/atom: -229.1
Raw total energy in Ry per atom: -0.178
Fermi-level density of states in states/eV/cell: 1.6
Calculated density in g cm⁻³: 5.24

The structure in POSCAR format:
```
Cd4Sb2SI
1.0
-6.131 0.038 -1.737
0.217 -5.941 2.296
1.249 5.239 5.800
Cd Sb S I
4 2 1 1
direct
0.588 0.588 0.729
0.418 0.825 0.243
0.825 0.418 0.243
0.141 0.141 0.729
0.759 0.259 0.518
0.259 0.759 0.518
0.500 0.500 0.000
0.011 0.011 0.022
```


Record 3
This record from Alexandria via LeMat-Bulk describes a geometry-optimized Tl2Sn2As structure. The functional is PBE.

Calculated values
E above lowest polymorph in meV per atom: 204
Raw total energy in Ry per atom: -0.234
Fermi-level density of states in states/eV/cell: 4.5
Calculated density in g cm⁻³: 8.32

The structure in POSCAR format:
```
Tl2Sn2As
1.0
7.827 0.000 0.000
0.000 7.827 0.000
0.000 0.000 4.698
As Tl Sn
2 4 4
direct
0.000 0.000 0.000
0.500 0.500 0.000
0.351 0.851 0.000
0.851 0.649 0.000
0.649 0.149 0.000
0.149 0.351 0.000
0.156 0.656 0.500
0.656 0.844 0.500
0.844 0.344 0.500
0.344 0.156 0.500
```


Number 1: spin magnetization 3.78 μB/cell. Number 2: spin magnetization 0.00 μB/cell. Number 3: spin magnetization 0.00 μB/cell.